1.
Computed, not measured: a relaxed HfNi2Au2 crystal at the PBE-GGA level of DFT.

As for the formation enthalpy at 0 K: -240 meV/atom. The relative energy among the computed polymorphs is 0.000 eV/atom. The value obtained for the uncorrected energy is -5.854 eV/atom.

Lattice parameters (Å, degrees): 6.588 6.588 3.647 90.00 90.00 90.00
Space group P4/mbm (No. 127)
One atom of each set of equivalent atoms:
Hf: 0.000 0.000 0.000
Ni: 0.127 0.373 0.000
Au: 0.170 0.670 0.500


2.
Computed, not measured: a relaxed Hf2Ni2Au crystal at the PBE-GGA level of DFT.

As for the formation enthalpy at 0 K: -581 meV/atom. The relative energy among the computed polymorphs is 0.000 eV/atom. The value obtained for the uncorrected energy is -7.530 eV/atom.

Lattice parameters (Å, degrees): 7.022 7.022 3.287 90.00 90.00 90.00
Space group P4/mbm (No. 127)
One atom of each set of equivalent atoms:
Hf: 0.172 0.328 0.000
Ni: 0.125 0.625 0.500
Au: 0.000 0.000 0.500


3.
Computed, not measured: a relaxed HfNi2Au2 crystal at the PBE-GGA level of DFT.

As for the formation enthalpy at 0 K: -75 meV/atom. The relative energy among the computed polymorphs is 0.165 eV/atom. The value obtained for the uncorrected energy is -5.689 eV/atom.

Lattice parameters (Å, degrees): 3.583 3.583 12.943 90.00 90.00 90.00
Space group I4/mmm (No. 139)
One atom of each set of equivalent atoms:
Hf: 0.000 0.000 0.000
Ni: 0.000 0.500 0.250
Au: 0.000 0.000 0.394